No. 1
# Zr2SbW, optimized geometry, DFT GGA-PBE
# uncorrected formation energy	0.175	eV per atom
# DOS at the Fermi energy	10.34	states/eV/cell
# magnetization	0.000	μB/cell
data_Zr2SbW
_chemical_formula_sum 'Zr4 Sb2 W2'
_symmetry_space_group_name_H-M 'C m m 2'
_symmetry_Int_Tables_number 35
_symmetry_space_group_name_Hall 'C 2 -2'
_cell_length_a 3.6178
_cell_length_b 5.1169
_cell_length_c 9.1231
_cell_angle_alpha 90.00
_cell_angle_beta 90.00
_cell_angle_gamma 90.00
loop_
_atom_site_label
_atom_site_fract_x
_atom_site_fract_y
_atom_site_fract_z
Zr1 0.0000 0.0000 0.0000
Zr2 0.0000 0.5000 0.2804
Sb1 0.0000 0.0000 0.5349
W1 0.0000 0.5000 0.7676

---

No. 2
# ZrSbW3, optimized geometry, DFT GGA-PBE
# uncorrected formation energy	2.081	eV per atom
# DOS at the Fermi energy	6.77	states/eV/cell
# distance to the lowest polymorph of the same formula	0	meV per atom
# magnetization	0.000	μB/cell
data_ZrSbW3
_chemical_formula_sum 'Zr1 Sb1 W3'
_symmetry_space_group_name_H-M 'P m -3 m'
_symmetry_Int_Tables_number 221
_symmetry_space_group_name_Hall '-P 4 2 3'
_cell_length_a 4.8640
_cell_length_b 4.8640
_cell_length_c 4.8640
_cell_angle_alpha 90.00
_cell_angle_beta 90.00
_cell_angle_gamma 90.00
loop_
_atom_site_label
_atom_site_fract_x
_atom_site_fract_y
_atom_site_fract_z
Zr1 0.0000 0.0000 0.0000
Sb1 0.5000 0.5000 0.5000
W1 0.0000 0.5000 0.5000

---

No. 3
# ZrSb2W, optimized geometry, DFT GGA-PBE
# uncorrected formation energy	0.471	eV per atom
# DOS at the Fermi energy	9.58	states/eV/cell
# distance to the lowest polymorph of the same formula	534	meV per atom
# magnetization	0.000	μB/cell
data_ZrSb2W
_chemical_formula_sum 'Zr4 Sb8 W4'
_symmetry_space_group_name_H-M 'I -4 2 d'
_symmetry_Int_Tables_number 122
_symmetry_space_group_name_Hall 'I -4 2bw'
_cell_length_a 4.2859
_cell_length_b 4.2859
_cell_length_c 19.9458
_cell_angle_alpha 90.00
_cell_angle_beta 90.00
_cell_angle_gamma 90.00
loop_
_atom_site_label
_atom_site_fract_x
_atom_site_fract_y
_atom_site_fract_z
Zr1 0.0000 0.0000 0.0000
Sb1 0.2385 0.2500 0.6250
W1 0.0000 0.0000 0.5000

---

No. 4
# Zr4SbW, optimized geometry, DFT GGA-PBE
# uncorrected formation energy	0.477	eV per atom
# DOS at the Fermi energy	38.41	states/eV/cell
# magnetization	0.000	μB/cell
data_Zr4SbW
_chemical_formula_sum 'Zr16 Sb4 W4'
_symmetry_space_group_name_H-M 'F -4 3 m'
_symmetry_Int_Tables_number 216
_symmetry_space_group_name_Hall 'F -4 2 3'
_cell_length_a 8.0263
_cell_length_b 8.0263
_cell_length_c 8.0263
_cell_angle_alpha 90.00
_cell_angle_beta 90.00
_cell_angle_gamma 90.00
loop_
_atom_site_label
_atom_site_fract_x
_atom_site_fract_y
_atom_site_fract_z
Zr1 0.1231 0.1231 0.3769
Sb1 0.0000 0.0000 0.0000
W1 0.2500 0.2500 0.7500

---

No. 5
# ZrSbW2, optimized geometry, DFT GGA-PBE
# uncorrected formation energy	0.233	eV per atom
# DOS at the Fermi energy	5.17	states/eV/cell
# magnetization	0.000	μB/cell
data_ZrSbW2
_chemical_formula_sum 'Zr2 Sb2 W4'
_symmetry_space_group_name_H-M 'C 1 2/m 1'
_symmetry_Int_Tables_number 12
_symmetry_space_group_name_Hall '-C 2y'
_cell_length_a 9.9139
_cell_length_b 3.4509
_cell_length_c 4.6357
_cell_angle_alpha 90.00
_cell_angle_beta 108.96
_cell_angle_gamma 90.00
loop_
_atom_site_label
_atom_site_fract_x
_atom_site_fract_y
_atom_site_fract_z
Zr1 0.0000 0.0000 0.0000
Sb1 0.0000 0.5000 0.5000
W1 0.2482 0.0000 0.7300

---

No. 6
# ZrSb2W, optimized geometry, DFT GGA-PBE
# uncorrected formation energy	0.241	eV per atom
# DOS at the Fermi energy	2.97	states/eV/cell
# distance to the lowest polymorph of the same formula	305	meV per atom
# magnetization	0.000	μB/cell
data_ZrSb2W
_chemical_formula_sum 'Zr1 Sb2 W1'
_symmetry_space_group_name_H-M 'P 1 2/m 1'
_symmetry_Int_Tables_number 10
_symmetry_space_group_name_Hall '-P 2y'
_cell_length_a 3.2816
_cell_length_b 4.4142
_cell_length_c 5.9514
_cell_angle_alpha 90.00
_cell_angle_beta 99.43
_cell_angle_gamma 90.00
loop_
_atom_site_label
_atom_site_fract_x
_atom_site_fract_y
_atom_site_fract_z
Zr1 0.0000 0.0000 0.0000
Sb1 0.3234 0.5000 0.7409
W1 0.5000 0.0000 0.5000

---

No. 7
# Zr2SbW, optimized geometry, DFT GGA-PBE
# uncorrected formation energy	0.229	eV per atom
# DOS at the Fermi energy	14.08	states/eV/cell
# magnetization	0.000	μB/cell
data_Zr2SbW
_chemical_formula_sum 'Zr6 Sb3 W3'
_symmetry_space_group_name_H-M 'R 3 m'
_symmetry_Int_Tables_number 160
_symmetry_space_group_name_Hall 'R 3 -2"'
_cell_length_a 3.3113
_cell_length_b 3.3113
_cell_length_c 27.3763
_cell_angle_alpha 90.00
_cell_angle_beta 90.00
_cell_angle_gamma 120.00
loop_
_atom_site_label
_atom_site_fract_x
_atom_site_fract_y
_atom_site_fract_z
Zr1 0.0000 0.0000 0.0000
Zr2 0.0000 0.0000 0.2411
Sb1 0.0000 0.0000 0.7562
W1 0.0000 0.0000 0.4962

---

No. 8
# Zr2SbW, optimized geometry, DFT GGA-PBE
# uncorrected formation energy	-0.061	eV per atom
# DOS at the Fermi energy	8.09	states/eV/cell
# magnetization	0.000	μB/cell
data_Zr2SbW
_chemical_formula_sum 'Zr4 Sb2 W2'
_symmetry_space_group_name_H-M 'I 4/m m m'
_symmetry_Int_Tables_number 139
_symmetry_space_group_name_Hall '-I 4 2'
_cell_length_a 4.4504
_cell_length_b 4.4504
_cell_length_c 8.2160
_cell_angle_alpha 90.00
_cell_angle_beta 90.00
_cell_angle_gamma 90.00
loop_
_atom_site_label
_atom_site_fract_x
_atom_site_fract_y
_atom_site_fract_z
Zr1 0.0000 0.5000 0.2500
Sb1 0.0000 0.0000 0.0000
W1 0.0000 0.0000 0.5000

---

No. 9
# ZrSbW2, optimized geometry, DFT GGA-PBE
# uncorrected formation energy	0.260	eV per atom
# DOS at the Fermi energy	3.21	states/eV/cell
# magnetization	0.000	μB/cell
data_ZrSbW2
_chemical_formula_sum 'Zr1 Sb1 W2'
_symmetry_space_group_name_H-M 'P m m m'
_symmetry_Int_Tables_number 47
_symmetry_space_group_name_Hall '-P 2 2'
_cell_length_a 3.6915
_cell_length_b 4.3970
_cell_length_c 4.5944
_cell_angle_alpha 90.00
_cell_angle_beta 90.00
_cell_angle_gamma 90.00
loop_
_atom_site_label
_atom_site_fract_x
_atom_site_fract_y
_atom_site_fract_z
Zr1 0.0000 0.0000 0.0000
Sb1 0.5000 0.5000 0.0000
W1 0.0000 0.5000 0.5000
W2 0.5000 0.0000 0.5000

---

No. 10
# ZrSbW4, optimized geometry, DFT GGA-PBE
# uncorrected formation energy	0.240	eV per atom
# DOS at the Fermi energy	9.44	states/eV/cell
# magnetization	0.000	μB/cell
data_ZrSbW4
_chemical_formula_sum 'Zr4 Sb4 W16'
_symmetry_space_group_name_H-M 'F -4 3 m'
_symmetry_Int_Tables_number 216
_symmetry_space_group_name_Hall 'F -4 2 3'
_cell_length_a 7.6349
_cell_length_b 7.6349
_cell_length_c 7.6349
_cell_angle_alpha 90.00
_cell_angle_beta 90.00
_cell_angle_gamma 90.00
loop_
_atom_site_label
_atom_site_fract_x
_atom_site_fract_y
_atom_site_fract_z
Zr1 0.0000 0.0000 0.0000
Sb1 0.2500 0.2500 0.2500
W1 0.1251 0.1251 0.6251

---

No. 11
# ZrSb2W, optimized geometry, DFT GGA-PBE
# uncorrected formation energy	0.287	eV per atom
# DOS at the Fermi energy	3.44	states/eV/cell
# distance to the lowest polymorph of the same formula	351	meV per atom
# magnetization	0.000	μB/cell
data_ZrSb2W
_chemical_formula_sum 'Zr1 Sb2 W1'
_symmetry_space_group_name_H-M 'P m m m'
_symmetry_Int_Tables_number 47
_symmetry_space_group_name_Hall '-P 2 2'
_cell_length_a 3.7491
_cell_length_b 4.3682
_cell_length_c 5.1371
_cell_angle_alpha 90.00
_cell_angle_beta 90.00
_cell_angle_gamma 90.00
loop_
_atom_site_label
_atom_site_fract_x
_atom_site_fract_y
_atom_site_fract_z
Zr1 0.0000 0.0000 0.0000
Sb1 0.0000 0.5000 0.5000
Sb2 0.5000 0.5000 0.0000
W1 0.5000 0.0000 0.5000

---

No. 12
# ZrSb2W, optimized geometry, DFT GGA-PBE
# uncorrected formation energy	0.240	eV per atom
# DOS at the Fermi energy	14.96	states/eV/cell
# distance to the lowest polymorph of the same formula	304	meV per atom
# magnetization	0.002	μB/cell
data_ZrSb2W
_chemical_formula_sum 'Zr3 Sb6 W3'
_symmetry_space_group_name_H-M 'R -3 m'
_symmetry_Int_Tables_number 166
_symmetry_space_group_name_Hall '-R 3 2"'
_cell_length_a 3.2780
_cell_length_b 3.2780
_cell_length_c 27.2028
_cell_angle_alpha 90.00
_cell_angle_beta 90.00
_cell_angle_gamma 120.00
loop_
_atom_site_label
_atom_site_fract_x
_atom_site_fract_y
_atom_site_fract_z
Zr1 0.0000 0.0000 0.0000
Sb1 0.0000 0.0000 0.2430
W1 0.0000 0.0000 0.5000

---

> DOS at the Fermi energy of number 4 (Zr4SbW)?

38.41 states/eV/cell

---

What did the sixth record say?
# ZrSb2W, optimized geometry, DFT GGA-PBE
# uncorrected formation energy	0.241	eV per atom
# DOS at the Fermi energy	2.97	states/eV/cell
# distance to the lowest polymorph of the same formula	305	meV per atom
# magnetization	0.000	μB/cell
data_ZrSb2W
_chemical_formula_sum 'Zr1 Sb2 W1'
_symmetry_space_group_name_H-M 'P 1 2/m 1'
_symmetry_Int_Tables_number 10
_symmetry_space_group_name_Hall '-P 2y'
_cell_length_a 3.2816
_cell_length_b 4.4142
_cell_length_c 5.9514
_cell_angle_alpha 90.00
_cell_angle_beta 99.43
_cell_angle_gamma 90.00
loop_
_atom_site_label
_atom_site_fract_x
_atom_site_fract_y
_atom_site_fract_z
Zr1 0.0000 0.0000 0.0000
Sb1 0.3234 0.5000 0.7409
W1 0.5000 0.0000 0.5000

---

> The lowest uncorrected formation energy belongs to which entry?

number 8